(1)
An optimized crystal structure of Mn6Ga29, computed with GGA-PBE.

Calculated values
- Space-group type: P-1
- VASP energy: -295.65 eV per cell
- Fermi-level density of states: 0.14 states/eV/atom
- ΔH_f (0 K): -5.03 eV/f.u.
- Spin magnetization: 0.0000 μB per atom

```
70
Lattice="-4.027 -4.739 0.889 6.428 -6.184 -4.376 8.075 -3.265 16.869" Properties=species:S:1:pos:R:3 pbc="T T T"
Ga 5.203 -5.613 14.299
Ga -2.588 -3.340 0.923
Ga 3.659 -4.494 0.557
Ga 4.195 -4.132 5.712
Ga 5.273 -8.575 -0.917
Ga 4.022 -3.647 11.188
Ga 4.351 -6.006 -1.761
Ga 2.492 -2.769 -1.295
Ga 2.682 -3.505 3.279
Ga 4.160 -9.421 10.185
Ga 7.771 -9.848 5.424
Ga 4.270 -11.458 0.387
Ga 5.858 -6.628 1.097
Ga 8.906 -8.428 14.008
Ga 6.125 -8.181 15.143
Ga 6.413 -5.580 6.022
Ga 6.280 -10.056 7.670
Ga 0.948 -3.015 0.929
Ga 1.398 -2.552 5.705
Ga 1.940 -6.548 6.532
Ga 6.593 -5.206 11.723
Ga 6.206 -2.730 12.995
Ga 3.264 -6.841 9.401
Ga 5.363 -4.584 8.857
Ga 7.063 -12.517 6.001
Ga 7.212 -7.347 3.981
Ga 3.413 -1.671 7.381
Ga 4.264 -7.012 4.970
Ga 4.618 -7.559 12.284
Ga 6.936 -6.727 -2.516
Ga 3.882 -8.981 1.658
Ga 9.057 -6.563 12.019
Ga 3.540 -7.460 15.898
Ga 3.649 -6.191 2.747
Ga 6.212 -7.175 8.412
Ga 1.226 -7.082 3.889
Ga 5.113 -9.604 4.524
Ga -0.727 -5.394 1.187
Ga 2.705 -4.339 7.958
Ga 1.419 -7.625 1.362
Ga 4.063 -8.608 7.360
Ga 7.984 -11.418 14.676
Ga 8.536 -7.640 6.849
Ga 6.817 -9.694 12.825
Ga 7.980 -5.685 14.622
Ga 6.316 -4.767 3.197
Ga 7.793 -10.682 10.103
Ga 11.203 -8.794 12.195
Ga 9.528 -11.172 12.452
Ga 10.296 -9.566 9.588
Ga 9.078 -11.636 7.677
Ga 2.496 -8.502 -1.240
Ga 0.180 -4.621 3.793
Ga 6.453 -10.540 2.194
Ga 9.250 -7.106 9.493
Ga 13.064 -10.847 12.459
Ga 1.570 -5.760 -0.626
Ga 6.827 -7.997 10.634
Mn 8.108 -6.306 1.975
Mn 6.238 -8.086 6.087
Mn 10.834 -7.510 7.624
Mn 1.605 -5.164 1.826
Mn 9.461 -13.196 13.965
Mn -0.358 -6.677 5.757
Mn 1.015 -0.992 -0.584
Mn 6.894 -7.188 13.054
Mn 2.368 -7.882 11.407
Mn 8.871 -9.023 11.556
Mn 3.582 -6.999 0.328
Mn 4.238 -6.102 7.295
```



(2)
An optimized crystal structure of MnGa2, computed with GGA-PBE.

Calculated values
- Space-group type: I4/mmm
- VASP energy: -15.13 eV per cell
- Fermi-level density of states: 0.43 states/eV/atom
- ΔH_f (0 K): 0.09 eV/f.u.
- Spin magnetization: 0.3192 μB per atom

```
3
Lattice="-1.415 2.708 0.601 -2.761 -1.308 -0.600 1.716 -1.799 4.094" Properties=species:S:1:pos:R:3 pbc="T T T"
Ga -0.115 -0.344 1.278
Ga -2.345 -0.056 2.816
Mn -2.088 0.700 0.001
```



(3)
An optimized crystal structure of MnGa3, computed with GGA-PBE.

Calculated values
- Space-group type: Pmm2
- VASP energy: -18.10 eV per cell
- Fermi-level density of states: 0.52 states/eV/atom
- ΔH_f (0 K): 0.15 eV/f.u.
- Spin magnetization: 0.5905 μB per atom

```
4
Lattice="-2.602 0.616 0.952 -1.633 -3.849 -1.975 0.872 -2.384 3.926" Properties=species:S:1:pos:R:3 pbc="T T T"
Ga -1.392 -3.602 2.758
Ga -0.539 -2.683 0.263
Ga -0.864 -0.889 2.447
Mn 0.012 -0.032 0.052
```



(4)
An optimized crystal structure of MnGa5, computed with GGA-PBE.

Calculated values
- Space-group type: Cmmm
- VASP energy: -24.05 eV per cell
- Fermi-level density of states: 0.41 states/eV/atom
- ΔH_f (0 K): 0.26 eV/f.u.
- Spin magnetization: 0.6055 μB per atom

```
6
Lattice="4.029 0.000 0.000 0.000 3.990 0.000 0.000 -1.995 6.303" Properties=species:S:1:pos:R:3 pbc="T T T"
Ga 2.015 1.995 4.228
Ga 0.000 0.000 4.337
Ga 0.000 1.995 1.966
Ga 2.015 0.000 2.075
Ga 2.015 1.995 0.000
Mn 0.000 0.000 0.000
```



(5)
An optimized crystal structure of Mn3Ga, computed with GGA-PBE.

Calculated values
- Space-group type: Pmm2
- VASP energy: -30.48 eV per cell
- Fermi-level density of states: 1.26 states/eV/atom
- ΔH_f (0 K): 0.06 eV/f.u.
- Spin magnetization: 0.5234 μB per atom

```
4
Lattice="-2.019 1.691 0.161 -1.910 -2.550 2.835 2.067 2.152 3.328" Properties=species:S:1:pos:R:3 pbc="T T T"
Mn -0.233 1.373 4.286
Mn 2.055 2.139 3.308
Mn 0.006 1.902 1.715
Ga -0.244 -0.535 2.562
```



(6)
An optimized crystal structure of Mn5Ga6, computed with GGA-PBE.

Calculated values
- Space-group type: Immm
- VASP energy: -64.99 eV per cell
- Fermi-level density of states: 0.72 states/eV/atom
- ΔH_f (0 K): -0.98 eV/f.u.
- Spin magnetization: 1.1530 μB per atom

```
11
Lattice="3.905 0.004 -1.209 -0.732 5.855 -2.348 0.039 -0.617 7.037" Properties=species:S:1:pos:R:3 pbc="T T T"
Ga -0.062 5.234 -0.183
Ga 2.875 3.189 2.388
Ga 3.273 0.008 3.664
Ga 0.336 2.053 1.093
Ga 1.375 4.619 -2.456
Ga 1.798 1.239 -1.101
Mn 1.120 1.594 3.624
Mn -0.366 2.927 -1.174
Mn 0.636 4.354 2.070
Mn 2.575 0.888 1.411
Mn 2.092 3.648 -0.144
```



(7)
An optimized crystal structure of Mn4Ga, computed with GGA-PBE.

Calculated values
- Space-group type: R-3m
- VASP energy: -39.16 eV per cell
- Fermi-level density of states: 0.68 states/eV/atom
- ΔH_f (0 K): 0.55 eV/f.u.
- Offset from the most stable computed form: 0.0000 eV per atom
- Spin magnetization: 0.0429 μB per atom

```
5
Lattice="-1.459 7.783 -6.634 -3.204 6.199 -7.617 -3.825 7.738 -5.675" Properties=species:S:1:pos:R:3 pbc="T T T"
Mn -3.427 8.769 -8.045
Mn -5.061 12.951 -11.881
Mn -6.782 17.354 -15.920
Mn -1.706 4.366 -4.005
Ga 0.000 0.000 0.000
```



(8)
An optimized crystal structure of Mn3Ga, computed with GGA-PBE.

Calculated values
- Space-group type: P6_3/mmc
- VASP energy: -60.73 eV per cell
- Fermi-level density of states: 1.76 states/eV/atom
- ΔH_f (0 K): 0.17 eV/f.u.
- Spin magnetization: 0.9017 μB per atom

```
8
Lattice="4.159 0.000 0.000 0.000 5.137 0.000 0.000 2.569 4.449" Properties=species:S:1:pos:R:3 pbc="T T T"
Mn 3.120 3.798 3.739
Mn 1.040 1.230 0.710
Mn 1.040 3.907 0.710
Mn 3.120 6.476 3.739
Mn 1.040 2.569 3.029
Mn 3.120 5.137 1.420
Ga 3.120 2.569 1.483
Ga 1.040 5.137 2.966
```



(9)
An optimized crystal structure of Mn4Ga, computed with GGA-PBE.

Calculated values
- Space-group type: Pm-3m
- VASP energy: -34.35 eV per cell
- Fermi-level density of states: 1.21 states/eV/atom
- ΔH_f (0 K): 5.36 eV/f.u.
- Offset from the most stable computed form: 0.9615 eV per atom
- Spin magnetization: 2.9972 μB per atom

```
5
Lattice="4.585 0.000 0.000 0.000 4.585 0.000 0.000 0.000 4.585" Properties=species:S:1:pos:R:3 pbc="T T T"
Ga 2.292 2.292 2.292
Mn 2.292 0.000 2.292
Mn 2.292 2.292 0.000
Mn 0.000 2.292 2.292
Mn 0.000 0.000 0.000
```



(10)
An optimized crystal structure of Mn8Ga5, computed with GGA-PBE.

Calculated values
- Space-group type: I-43m
- VASP energy: -174.40 eV per cell
- Fermi-level density of states: 0.75 states/eV/atom
- ΔH_f (0 K): 1.29 eV/f.u.
- Spin magnetization: 1.6150 μB per atom

```
26
Lattice="-4.446 4.446 4.446 4.446 -4.446 4.446 4.446 4.446 -4.446" Properties=species:S:1:pos:R:3 pbc="T T T"
Ga 0.000 3.157 0.000
Ga 2.865 -2.865 2.865
Ga 1.580 1.580 1.580
Ga 3.157 0.000 0.000
Ga 5.734 0.000 0.000
Ga 0.000 0.000 3.157
Ga 0.000 5.734 0.000
Ga 2.865 2.865 -2.865
Ga -2.865 2.865 2.865
Ga 0.000 0.000 5.734
Mn 1.660 1.660 4.150
Mn -0.296 2.785 2.785
Mn 1.660 4.741 -1.660
Mn 4.741 -1.660 1.660
Mn 2.785 -0.296 2.785
Mn 4.741 1.660 -1.660
Mn 4.150 1.660 1.660
Mn -0.913 0.913 0.913
Mn 3.533 3.533 3.533
Mn 0.913 0.913 -0.913
Mn 1.660 4.150 1.660
Mn -1.660 1.660 4.741
Mn 1.660 -1.660 4.741
Mn 2.785 2.785 -0.296
Mn 0.913 -0.913 0.913
Mn -1.660 4.741 1.660
```



(11)
An optimized crystal structure of Mn3Ga, computed with GGA-PBE.

Calculated values
- Space-group type: I4/mmm
- VASP energy: -30.54 eV per cell
- Fermi-level density of states: 0.95 states/eV/atom
- ΔH_f (0 K): 0.00 eV/f.u.
- Spin magnetization: 1.2658 μB per atom

```
4
Lattice="-0.868 -0.816 3.569 2.827 -2.478 0.121 1.146 4.125 -0.761" Properties=species:S:1:pos:R:3 pbc="T T T"
Ga 1.723 -3.087 3.680
Mn 2.241 0.207 0.593
Mn 1.890 2.685 1.074
Mn 0.393 1.037 2.316
```



(12)
An optimized crystal structure of Mn3Ga, computed with GGA-PBE.

Calculated values
- Space-group type: R-3m
- VASP energy: -30.11 eV per cell
- Fermi-level density of states: 0.98 states/eV/atom
- ΔH_f (0 K): 0.43 eV/f.u.
- Spin magnetization: 0.3861 μB per atom

```
4
Lattice="2.603 0.000 0.000 -1.301 2.254 0.000 1.301 0.751 8.221" Properties=species:S:1:pos:R:3 pbc="T T T"
Mn 1.301 2.254 6.081
Mn 0.000 1.503 4.110
Mn 1.301 0.751 2.140
Ga 0.000 0.000 0.000
```



(13)
An optimized crystal structure of MnGa2, computed with GGA-PBE.

Calculated values
- Space-group type: P4/mmm
- VASP energy: -15.72 eV per cell
- Fermi-level density of states: 0.50 states/eV/atom
- ΔH_f (0 K): -0.49 eV/f.u.
- Spin magnetization: 0.4768 μB per atom

```
3
Lattice="2.642 0.000 0.000 0.000 4.275 0.000 0.000 0.000 4.275" Properties=species:S:1:pos:R:3 pbc="T T T"
Ga 1.321 2.137 0.000
Ga 1.321 0.000 2.137
Mn 0.000 0.000 0.000
```



(14)
An optimized crystal structure of Mn3Ga, computed with GGA-PBE.

Calculated values
- Space-group type: P-6m2
- VASP energy: -30.33 eV per cell
- Fermi-level density of states: 0.87 states/eV/atom
- ΔH_f (0 K): 0.20 eV/f.u.
- Spin magnetization: 0.3714 μB per atom

```
4
Lattice="-1.744 1.927 0.078 -0.126 -1.793 -1.879 -4.821 -4.553 4.669" Properties=species:S:1:pos:R:3 pbc="T T T"
Mn -3.076 -2.829 1.108
Mn -1.258 -1.188 1.218
Mn -3.563 -3.365 3.450
Ga -0.666 -0.553 -1.227
```



(15)
An optimized crystal structure of MnGa3, computed with GGA-PBE.

Calculated values
- Space-group type: Imm2
- VASP energy: -18.26 eV per cell
- Fermi-level density of states: 0.35 states/eV/atom
- ΔH_f (0 K): -0.01 eV/f.u.
- Spin magnetization: 0.6760 μB per atom

```
4
Lattice="-2.441 1.656 -0.235 -2.105 -3.448 -2.438 0.731 -0.839 5.120" Properties=species:S:1:pos:R:3 pbc="T T T"
Ga -1.601 0.576 2.061
Ga -2.225 -0.817 -1.281
Ga -1.524 -2.079 1.183
Mn -0.035 -0.057 -0.040
```



(16)
An optimized crystal structure of Mn5Ga, computed with GGA-PBE.

Calculated values
- Space-group type: Cmmm
- VASP energy: -48.96 eV per cell
- Fermi-level density of states: 0.85 states/eV/atom
- ΔH_f (0 K): -0.08 eV/f.u.
- Spin magnetization: 0.5864 μB per atom

```
6
Lattice="-0.623 -1.091 -3.649 -0.046 -3.705 1.116 -4.579 2.122 0.147" Properties=species:S:1:pos:R:3 pbc="T T T"
Mn -3.293 -2.225 -0.813
Mn -2.967 0.174 0.455
Mn -0.335 -2.398 -1.267
Mn -1.955 -0.449 -1.573
Mn -1.659 -1.757 0.809
Ga 0.000 0.000 0.000
```



(17)
An optimized crystal structure of Mn2Ga, computed with GGA-PBE.

Calculated values
- Space-group type: Fd-3m
- VASP energy: -41.59 eV per cell
- Fermi-level density of states: 1.10 states/eV/atom
- ΔH_f (0 K): 0.57 eV/f.u.
- Spin magnetization: 0.1962 μB per atom

```
6
Lattice="-0.470 1.144 4.551 -3.900 -1.230 2.350 0.200 -3.356 3.308" Properties=species:S:1:pos:R:3 pbc="T T T"
Ga -1.042 -0.861 2.552
Ga 0.000 0.000 0.000
Mn -2.606 -2.152 6.381
Mn -0.656 -1.537 5.206
Mn -2.706 -0.474 4.727
Mn -2.371 -2.723 4.105
```



(18)
An optimized crystal structure of Mn3Ga4, computed with GGA-PBE.

Calculated values
- Space-group type: R-3m
- VASP energy: -40.14 eV per cell
- Fermi-level density of states: 0.45 states/eV/atom
- ΔH_f (0 K): -0.53 eV/f.u.
- Spin magnetization: 1.0863 μB per atom

```
7
Lattice="4.051 0.000 1.208 1.845 3.606 1.207 0.102 0.062 7.056" Properties=species:S:1:pos:R:3 pbc="T T T"
Ga 0.844 0.516 4.569
Ga 2.366 1.447 6.860
Ga 5.155 3.153 4.902
Ga 3.632 2.222 2.611
Mn 4.442 2.716 7.295
Mn 1.556 0.952 2.177
Mn 0.000 0.000 0.000
```



(19)
An optimized crystal structure of Mn6Ga, computed with GGA-PBE.

Calculated values
- Space-group type: Im-3m
- VASP energy: -49.86 eV per cell
- Fermi-level density of states: 1.00 states/eV/atom
- ΔH_f (0 K): 8.18 eV/f.u.
- Spin magnetization: 0.0000 μB per atom

```
7
Lattice="-0.109 -0.030 5.213 0.598 -4.874 -1.754 3.985 2.938 -1.638" Properties=species:S:1:pos:R:3 pbc="T T T"
Ga 0.000 0.000 0.000
Mn 3.260 -0.241 -0.802
Mn 3.083 0.970 0.940
Mn 1.213 -1.725 2.623
Mn 2.060 0.228 2.652
Mn 2.413 -2.194 -0.831
Mn 1.390 -2.936 0.881
```



(20)
An optimized crystal structure of Mn11Ga3, computed with GGA-PBE.

Calculated values
- Space-group type: Immm
- VASP energy: -108.08 eV per cell
- Fermi-level density of states: 0.74 states/eV/atom
- ΔH_f (0 K): 1.87 eV/f.u.
- Spin magnetization: 0.4381 μB per atom

```
14
Lattice="-0.659 -3.527 -1.622 5.376 -4.042 1.826 -2.674 -4.012 5.033" Properties=species:S:1:pos:R:3 pbc="T T T"
Mn 1.351 -4.027 3.430
Mn 1.188 -2.406 -0.031
Mn -0.934 -3.321 2.823
Mn 2.943 -9.184 4.437
Mn 2.977 -8.260 2.415
Mn 2.598 -3.334 1.416
Mn 2.332 -5.796 2.097
Mn -0.899 -2.398 0.800
Mn 0.856 -9.176 5.269
Mn -0.288 -5.786 3.141
Mn -0.555 -8.247 3.822
Ga 0.000 0.000 0.000
Ga 0.313 -4.837 0.832
Ga 1.730 -6.745 4.406
```



(21)
An optimized crystal structure of Mn2GaMo, computed with GGA-PBE.

Calculated values
- Space-group type: P4/mmm
- VASP energy: -32.28 eV per cell
- Fermi-level density of states: 0.94 states/eV/atom
- ΔH_f (0 K): -0.08 eV/f.u.
- Spin magnetization: 0.2028 μB per atom

```
4
Lattice="3.014 0.000 0.000 0.000 3.014 0.000 0.000 0.000 5.708" Properties=species:S:1:pos:R:3 pbc="T T T"
Mn 0.000 0.000 4.289
Mn 0.000 0.000 1.419
Mo 1.507 1.507 0.000
Ga 1.507 1.507 2.854
```



(22)
An optimized crystal structure of MnGaMo, computed with GGA-PBE.

Calculated values
- Space-group type: P3m1
- VASP energy: -23.08 eV per cell
- Fermi-level density of states: 0.64 states/eV/atom
- ΔH_f (0 K): -0.06 eV/f.u.
- Offset from the most stable computed form: 0.0532 eV per atom
- Spin magnetization: 0.4807 μB per atom

```
3
Lattice="2.721 0.000 0.000 0.000 4.231 0.000 0.000 -2.116 3.665" Properties=species:S:1:pos:R:3 pbc="T T T"
Mn 1.838 0.000 2.443
Ga 2.535 0.000 0.000
Mo 1.069 2.116 1.222
```



(23)
An optimized crystal structure of MnGa2Mo, computed with GGA-PBE.

Calculated values
- Space-group type: R3m
- VASP energy: -26.03 eV per cell
- Fermi-level density of states: 0.80 states/eV/atom
- ΔH_f (0 K): 0.03 eV/f.u.
- Offset from the most stable computed form: 0.0500 eV per atom
- Spin magnetization: 0.7288 μB per atom

```
4
Lattice="2.836 0.000 0.000 1.418 2.456 0.000 1.418 0.819 8.595" Properties=species:S:1:pos:R:3 pbc="T T T"
Mo 2.836 1.637 0.007
Mn 2.836 1.637 4.284
Ga 1.418 0.819 2.229
Ga 1.418 0.819 6.373
```